*one*
The following is a PBE calculation of a relaxed structure of Er5Th4, from Alexandria via LeMat-Bulk.

abc: 12.531 12.531 3.621
angles: 90.00 90.00 90.00
Space group I4/mmm (No. 139)
One atom of each set of equivalent atoms:
Er: 0.000 0.000 0.000
Er: 0.166 0.166 0.500
Th: 0.000 0.336 0.000

Results
**Crystal system**: tetragonal
**DOS at the Fermi energy**: 30.5 states/eV/cell

***

*two*
The following is a PBE calculation of a relaxed structure of Er5Th4, from Alexandria via LeMat-Bulk.

abc: 10.626 10.626 5.017
angles: 90.00 90.00 90.00
Space group I4/mmm (No. 139)
One atom of each set of equivalent atoms:
Er: 0.000 0.000 0.000
Er: 0.000 0.330 0.000
Th: 0.166 0.166 0.500

Results
**Crystal system**: tetragonal
**DOS at the Fermi energy**: 28.5 states/eV/cell

***

Least stable: *one*